Computed, not measured: a geometry-optimized Mg2NiBiO structure at the PBE with a Hubbard U level of DFT.

Calculated values
As for the calculated volume: 139.0 Å³ per cell. For the magnetic moment, the calculation gives 0.2008 μB/atom. For the uncorrected energy, the calculation gives -9.875 eV/f.u.

Lattice parameters (Å, degrees): 5.4035 5.4035 4.7596 90.00 90.00 90.00
With the nearest neighbours (Å) after each atom.
Atoms (fractional coordinates):
Mg1 0.0000 0.5000 0.0000  2 Bi 2.70
Mg2 0.5000 0.0000 0.0000  2 Bi 2.70
Ni1 0.0000 0.0000 0.5000  2 Bi 2.38
Bi1 0.0000 0.0000 0.0000  2 Ni 2.38
O1 0.5000 0.5000 0.5000  8 Mg 3.60, 4 Ni 3.82